A) Here is a geometry-optimized CoPt4Rh structure from the Alexandria database. Energies are from GGA-PBE.

Structure (POSCAR):
```
CoPt4Rh
1.0
4.745 0.564 0.471
1.435 6.262 2.707
0.454 0.876 6.711
Co Pt Rh
2 8 2
Direct
0.750 0.999 0.501
0.250 0.001 0.499
0.444 0.922 0.871
0.056 0.707 0.871
0.357 0.405 0.279
0.643 0.595 0.721
0.857 0.184 0.721
0.944 0.293 0.129
0.143 0.816 0.279
0.556 0.078 0.129
0.250 0.405 0.689
0.750 0.595 0.311
```

Computed properties:
The space-group type is No. 15.

B) Here is a geometry-optimized CoPt4Rh structure from the Alexandria database. Energies are from GGA-PBE.

Structure (POSCAR):
```
CoPt4Rh
1.0
2.525 -3.910 2.292
0.328 -0.197 5.174
-2.643 -3.607 2.631
Co Pt Rh
1 4 1
Direct
0.000 0.000 0.000
0.875 0.375 0.375
0.375 0.375 0.875
0.375 0.875 0.375
0.375 0.375 0.375
0.750 0.750 0.750
```

Computed properties:
The space-group type is No. 216.

Question: which arrangement is favored energetically? Ranking from most to least stable: A), B).

A) Here is a geometry-optimized Co2PtRh2 structure from the Alexandria database. Energies are from GGA-PBE.

Structure (POSCAR):
```
Co2PtRh2
1.0
7.050 0.000 0.000
0.000 7.050 0.000
0.000 0.000 2.763
Co Rh Pt
4 4 2
Direct
0.378 0.878 0.000
0.878 0.622 0.000
0.622 0.122 0.000
0.122 0.378 0.000
0.173 0.673 0.500
0.673 0.827 0.500
0.827 0.327 0.500
0.327 0.173 0.500
0.000 0.000 0.000
0.500 0.500 0.000
```

Computed properties:
The space-group type is No. 127.

B) Here is a geometry-optimized Co2PtRh2 structure from the Alexandria database. Energies are from GGA-PBE.

Structure (POSCAR):
```
Co2PtRh2
1.0
3.335 0.000 0.000
0.000 3.335 0.000
1.667 1.667 6.417
Co Rh Pt
2 2 1
Direct
0.750 0.250 0.500
0.250 0.750 0.500
0.397 0.397 0.205
0.603 0.603 0.795
0.000 0.000 0.000
```

Computed properties:
The space-group type is No. 139.

Question: which arrangement is favored energetically? Ranking from most to least stable: A), B).

A) Here is a geometry-optimized Co2PtRh2 structure from the Alexandria database. Energies are from GGA-PBE.

Structure (POSCAR):
```
Co2PtRh2
1.0
3.456 0.000 1.515
1.685 4.225 0.855
0.042 -0.148 4.603
Co Pt Rh
2 1 2
Direct
0.196 0.204 0.405
0.804 0.796 0.595
0.000 0.000 0.000
0.592 0.605 0.210
0.408 0.395 0.790
```

Computed properties:
The space-group type is No. 12.

B) Here is a geometry-optimized Co2PtRh2 structure from the Alexandria database. Energies are from GGA-PBE.

Structure (POSCAR):
```
Co2PtRh2
1.0
7.160 0.000 0.000
0.000 7.160 0.000
0.000 0.000 2.706
Co Rh Pt
4 4 2
Direct
0.167 0.667 0.500
0.667 0.833 0.500
0.833 0.333 0.500
0.333 0.167 0.500
0.369 0.869 0.000
0.869 0.631 0.000
0.631 0.131 0.000
0.131 0.369 0.000
0.000 0.000 0.000
0.500 0.500 0.000
```

Computed properties:
The space-group type is No. 127.

Question: which arrangement is favored energetically? Ranking from most to least stable: A), B).

A) Here is a geometry-optimized CoPtRh3 structure from the Alexandria database. Energies are from GGA-PBE.

Structure (POSCAR):
```
CoPtRh3
1.0
3.749 0.000 -0.847
-0.036 3.843 -0.160
0.195 0.401 9.581
Co Pt Rh
2 2 6
Direct
0.750 0.750 0.499
0.250 0.250 0.501
0.553 0.750 0.106
0.447 0.250 0.894
0.947 0.750 0.894
0.053 0.250 0.106
0.343 0.750 0.686
0.657 0.250 0.314
0.158 0.750 0.316
0.842 0.250 0.684
```

Computed properties:
The space-group type is No. 63.

B) Here is a geometry-optimized CoPtRh3 structure from the Alexandria database. Energies are from GGA-PBE.

Structure (POSCAR):
```
CoPtRh3
1.0
-0.482 -1.453 4.128
3.459 -2.671 -0.536
2.681 3.184 1.434
Co Rh Pt
1 3 1
Direct
0.000 0.000 0.000
0.000 0.500 0.000
0.000 0.000 0.500
0.500 0.000 0.000
0.500 0.500 0.500
```

Computed properties:
The space-group type is No. 221.

Question: which arrangement is favored energetically? Ranking from most to least stable: A), B).

A) Here is a geometry-optimized Co2Pt4Rh structure from the Alexandria database. Energies are from GGA-PBE.

Structure (POSCAR):
```
Co2Pt4Rh
1.0
6.209 -0.250 -2.465
-3.280 5.557 -1.750
-0.147 0.250 6.679
Rh Co Pt
2 4 8
Direct
0.000 0.250 0.250
0.000 0.750 0.750
0.793 0.146 0.646
0.207 0.854 0.354
0.500 0.646 0.854
0.500 0.354 0.146
0.801 0.809 0.309
0.199 0.508 0.008
0.500 0.309 0.508
0.500 0.008 0.809
0.500 0.992 0.191
0.500 0.691 0.492
0.801 0.492 0.992
0.199 0.191 0.691
```

Computed properties:
The space-group type is No. 140.

B) Here is a geometry-optimized Co2Pt4Rh structure from the Alexandria database. Energies are from GGA-PBE.

Structure (POSCAR):
```
Co2Pt4Rh
1.0
-4.045 -2.253 -4.583
1.731 -4.853 3.986
-3.036 4.658 3.394
Co Pt Rh
4 8 2
Direct
0.875 0.111 0.486
0.514 0.389 0.625
0.375 0.889 0.764
0.236 0.611 0.125
0.146 0.923 0.390
0.610 0.756 0.533
0.973 0.577 0.717
0.283 0.256 0.860
0.604 0.744 0.027
0.777 0.244 0.854
0.467 0.077 0.223
0.140 0.423 0.396
0.000 0.000 0.000
0.750 0.500 0.250
```

Computed properties:
The space-group type is No. 122.

Question: which arrangement is favored energetically? Ranking from most to least stable: B), A).

A) Here is a geometry-optimized CoPtRh structure from the Alexandria database. Energies are from GGA-PBE.

Structure (POSCAR):
```
CoPtRh
1.0
5.937 0.011 0.000
4.691 3.639 0.000
-5.314 -1.825 1.918
Co Rh Pt
1 1 1
Direct
0.003 0.003 0.000
0.656 0.656 0.000
0.340 0.340 0.000
```

Computed properties:
The space-group type is No. 107.

B) Here is a geometry-optimized CoPtRh structure from the Alexandria database. Energies are from GGA-PBE.

Structure (POSCAR):
```
CoPtRh
1.0
5.135 0.000 0.000
-2.568 4.447 0.000
0.000 0.000 12.315
Rh Co Pt
6 6 6
Direct
0.500 0.000 0.667
0.000 0.000 0.500
0.000 0.000 0.833
0.000 0.000 0.167
0.500 0.500 0.000
0.000 0.500 0.333
0.374 0.748 0.167
0.748 0.374 0.833
0.626 0.374 0.500
0.626 0.252 0.167
0.374 0.626 0.500
0.252 0.626 0.833
0.500 0.500 0.308
0.000 0.500 0.642
0.500 0.500 0.692
0.000 0.500 0.025
0.500 0.000 0.975
0.500 0.000 0.358
```

Computed properties:
The space-group type is No. 180.

Question: which arrangement is favored energetically? Ranking from most to least stable: A), B).

A) Here is a geometry-optimized CoPtRh structure from the Alexandria database. Energies are from GGA-PBE.

Structure (POSCAR):
```
CoPtRh
1.0
-2.564 0.852 0.288
-1.689 -3.955 -3.332
-0.627 -6.808 1.741
Co Pt Rh
2 2 2
Direct
0.999 0.233 0.497
0.001 0.767 0.503
0.345 0.733 0.190
0.655 0.267 0.810
0.662 0.757 0.823
0.338 0.243 0.177
```

Computed properties:
The space-group type is No. 12.

B) Here is a geometry-optimized CoPtRh structure from the Alexandria database. Energies are from GGA-PBE.

Structure (POSCAR):
```
CoPtRh
1.0
-1.096 -3.789 -0.983
0.963 -3.095 2.452
-2.905 -1.891 2.122
Co Pt Rh
1 1 1
Direct
0.750 0.750 0.750
0.000 0.000 0.000
0.500 0.500 0.500
```

Computed properties:
The space-group type is No. 216.

C) Here is a geometry-optimized CoPtRh structure from the Alexandria database. Energies are from GGA-PBE.

Structure (POSCAR):
```
CoPtRh
1.0
-0.332 2.575 0.775
-1.893 -1.215 -1.509
-3.035 -2.029 5.440
Co Rh Pt
1 1 1
Direct
0.000 0.000 0.994
0.333 0.667 0.684
0.667 0.333 0.322
```

Computed properties:
The space-group type is No. 156.

D) Here is a geometry-optimized CoPtRh structure from the Alexandria database. Energies are from GGA-PBE.

Structure (POSCAR):
```
CoPtRh
1.0
-1.199 -4.014 0.879
3.913 0.773 -1.553
0.940 0.267 2.501
Co Pt Rh
1 1 1
Direct
0.000 0.000 0.167
0.667 0.333 0.167
0.333 0.667 0.666
```

Computed properties:
The space-group type is No. 187.

Question: which arrangement is favored energetically? Ranking from most to least stable: A), C), D), B).

A) Here is a geometry-optimized CoPt2Rh6 structure from the Alexandria database. Energies are from GGA-PBE.

Structure (POSCAR):
```
CoPt2Rh6
1.0
3.688 0.000 -1.103
-0.581 5.730 -1.944
-0.192 0.114 6.076
Co Pt Rh
1 2 6
Direct
0.500 0.500 0.000
0.945 0.173 0.889
0.055 0.827 0.111
0.387 0.827 0.774
0.613 0.173 0.226
0.722 0.827 0.443
0.165 0.498 0.330
0.278 0.173 0.557
0.835 0.502 0.670
```

Computed properties:
The space-group type is No. 12.

B) Here is a geometry-optimized CoPt2Rh6 structure from the Alexandria database. Energies are from GGA-PBE.

Structure (POSCAR):
```
CoPt2Rh6
1.0
-0.388 -3.800 0.365
4.242 1.358 -1.524
4.928 0.124 6.527
Co Pt Rh
1 2 6
Direct
0.000 0.000 0.500
0.666 0.333 0.942
0.334 0.667 0.058
0.002 0.005 0.823
0.661 0.321 0.287
0.339 0.679 0.713
0.668 0.335 0.606
0.332 0.665 0.394
0.998 0.995 0.177
```

Computed properties:
The space-group type is No. 12.

Question: which arrangement is favored energetically? Ranking from most to least stable: A), B).

A) Here is a geometry-optimized CoPt8Rh6 structure from the Alexandria database. Energies are from GGA-PBE.

Structure (POSCAR):
```
CoPt8Rh6
1.0
-3.712 -4.500 4.270
-1.992 -6.499 -2.461
2.734 -5.773 2.414
Co Pt Rh
1 8 6
Direct
0.000 0.000 0.000
0.542 0.202 0.382
0.798 0.126 0.618
0.126 0.458 0.618
0.723 0.723 0.830
0.277 0.277 0.170
0.874 0.542 0.382
0.202 0.874 0.382
0.458 0.798 0.618
0.357 0.082 0.879
0.918 0.318 0.121
0.318 0.643 0.121
0.682 0.357 0.879
0.082 0.682 0.879
0.643 0.918 0.121
```

Computed properties:
The space-group type is No. 148.

B) Here is a geometry-optimized CoPt8Rh6 structure from the Alexandria database. Energies are from GGA-PBE.

Structure (POSCAR):
```
CoPt8Rh6
1.0
5.412 0.000 0.000
0.000 6.256 -3.612
0.000 0.000 7.223
Co Pt Rh
1 8 6
Direct
0.631 0.000 0.000
0.872 0.024 0.334
0.872 0.666 0.690
0.872 0.310 0.976
0.111 0.981 0.656
0.111 0.344 0.326
0.111 0.674 0.019
0.619 0.333 0.667
0.340 0.667 0.333
0.620 0.674 0.045
0.620 0.955 0.629
0.620 0.371 0.326
0.367 0.292 0.970
0.367 0.030 0.322
0.367 0.678 0.708
```

Computed properties:
The space-group type is No. 143.

Question: which arrangement is favored energetically? Ranking from most to least stable: B), A).

A) Here is a geometry-optimized CoPtRh4 structure from the Alexandria database. Energies are from GGA-PBE.

Structure (POSCAR):
```
CoPtRh4
1.0
2.714 -0.129 0.000
0.129 2.714 0.000
0.000 0.000 11.320
Co Pt Rh
1 1 4
Direct
0.500 0.500 0.500
0.000 0.000 0.000
0.500 0.500 0.823
0.500 0.500 0.177
0.000 0.000 0.346
0.000 0.000 0.654
```

Computed properties:
The space-group type is No. 123.

B) Here is a geometry-optimized CoPtRh4 structure from the Alexandria database. Energies are from GGA-PBE.

Structure (POSCAR):
```
CoPtRh4
1.0
4.270 0.000 0.000
0.000 7.422 0.000
-2.135 0.000 6.034
Co Pt Rh
2 2 8
Direct
0.357 0.750 0.714
0.643 0.250 0.286
0.156 0.750 0.311
0.844 0.250 0.689
0.232 0.415 0.464
0.768 0.585 0.536
0.232 0.085 0.464
0.768 0.915 0.536
0.544 0.750 0.088
0.456 0.250 0.912
0.000 0.500 0.000
0.000 0.000 0.000
```

Computed properties:
The space-group type is No. 63.

Question: which arrangement is favored energetically? Ranking from most to least stable: A), B).

A) Here is a geometry-optimized Co3Pt2Rh2 structure from the Alexandria database. Energies are from GGA-PBE.

Structure (POSCAR):
```
Co3Pt2Rh2
1.0
-2.283 1.233 0.741
1.293 -1.370 6.257
1.104 5.679 -1.136
Co Pt Rh
3 2 2
Direct
0.000 0.000 0.000
0.858 0.432 0.284
0.142 0.568 0.716
0.709 0.845 0.582
0.291 0.155 0.418
0.564 0.288 0.872
0.436 0.712 0.128
```

Computed properties:
The space-group type is No. 12.

B) Here is a geometry-optimized Co3Pt2Rh2 structure from the Alexandria database. Energies are from GGA-PBE.

Structure (POSCAR):
```
Co3Pt2Rh2
1.0
-2.453 1.104 -2.653
2.426 -3.789 -1.129
-3.901 -1.285 5.762
Co Pt Rh
3 2 2
Direct
0.000 0.000 0.000
0.580 0.298 0.863
0.420 0.702 0.137
0.838 0.410 0.266
0.162 0.590 0.734
0.278 0.133 0.423
0.722 0.867 0.577
```

Computed properties:
The space-group type is No. 12.

Question: which arrangement is favored energetically? Ranking from most to least stable: B), A).